(1)
Here is a relaxed CaPuGeO6 crystal from the Alexandria database. Energies are from GGA-PBE.

Spin magnetization (μB/cell): 4.000
Formation energy without anion corrections (eV/atom): -2.307

Geometry as extended XYZ:
```
18
Lattice="-0.746 5.239 -0.154 -2.143 -3.090 -3.727 -8.359 -1.024 5.655" Properties=species:S:1:pos:R:3 pbc="T T T"
Ca 0.000 0.000 0.000
Ca -4.179 -0.512 2.827
Pu -3.767 -0.570 -1.122
Pu -7.481 1.694 2.896
Ge -3.301 2.207 0.069
Ge -7.946 -1.082 1.705
O -3.026 1.310 -1.628
O -2.683 3.897 -0.652
O -7.738 -1.842 -0.066
O -8.565 -2.772 2.426
O -4.013 0.499 0.648
O -5.057 2.826 -0.473
O -9.728 -0.616 1.098
O -3.509 2.967 1.840
O -6.191 -1.702 2.247
O -1.520 1.741 0.676
O -7.235 0.626 1.126
O -8.221 -0.185 3.402
```



(2)
Here is a relaxed RbCaGe2O6 crystal from the Alexandria database. Energies are from GGA-PBE.

Spin magnetization (μB/cell): 1.961
Formation energy without anion corrections (eV/atom): -1.820

Geometry as extended XYZ:
```
20
Lattice="-4.828 0.505 -1.913 2.455 -1.208 -7.290 -1.695 -7.443 1.538" Properties=species:S:1:pos:R:3 pbc="T T T"
Rb 0.870 -1.651 -6.963
Rb -4.937 -6.495 -0.702
Ca -1.708 -5.524 -1.479
Ca -2.359 -2.622 -6.186
Ge -0.168 -5.466 -5.179
Ge -0.807 -1.914 -2.971
Ge -3.899 -2.680 -2.485
Ge -3.259 -6.232 -4.693
O 0.020 -6.543 -6.511
O -0.635 -0.296 -2.406
O -4.087 -1.603 -1.154
O -3.432 -7.850 -5.258
O -0.397 -3.807 -5.720
O 0.300 -2.255 -4.297
O -3.669 -4.339 -1.944
O -4.367 -5.891 -3.368
O -3.532 -4.954 -5.991
O -2.494 -2.256 -3.598
O -0.535 -3.192 -1.674
O -1.573 -5.890 -4.067
```



(3)
Here is a relaxed CaReGeO6 crystal from the Alexandria database. Energies are from GGA-PBE.

Spin magnetization (μB/cell): 2.015
Formation energy without anion corrections (eV/atom): -1.816

Geometry as extended XYZ:
```
18
Lattice="4.767 0.000 0.000 0.000 4.767 0.000 0.000 0.000 9.410" Properties=species:S:1:pos:R:3 pbc="T T T"
Ca 2.384 2.384 4.677
Ca 0.000 0.000 9.382
Re 2.384 2.384 1.542
Re 0.000 0.000 6.247
Ge 2.384 2.384 7.862
Ge 0.000 0.000 3.157
O 0.828 3.939 4.715
O 3.939 0.828 4.715
O 1.556 1.556 0.010
O 3.212 3.212 0.010
O 1.068 3.700 1.777
O 3.700 1.068 1.777
O 1.316 1.316 6.482
O 3.451 3.451 6.482
O 3.708 1.059 7.641
O 1.059 3.708 7.641
O 3.443 3.443 2.936
O 1.325 1.325 2.936
```



(4)
Here is a relaxed Ca2GeRhO6 crystal from the Alexandria database. Energies are from GGA-PBE.

Spin magnetization (μB/cell): 0.000
Formation energy without anion corrections (eV/atom): -1.789

Geometry as extended XYZ:
```
10
Lattice="3.861 0.000 0.000 0.000 5.492 0.000 0.000 0.000 5.492" Properties=species:S:1:pos:R:3 pbc="T T T"
Ca 0.356 2.746 0.000
Ca 0.356 0.000 2.746
Ge 2.435 0.000 0.000
Rh 2.484 2.746 2.746
O 2.599 1.328 1.328
O 2.599 1.328 4.164
O 0.567 2.746 2.746
O 0.576 0.000 0.000
O 2.599 4.164 4.164
O 2.599 4.164 1.328
```



(5)
Here is a relaxed CaGeRhO4 crystal from the Alexandria database. Energies are from GGA-PBE.

Spin magnetization (μB/cell): 2.667
Formation energy without anion corrections (eV/atom): -1.523

Geometry as extended XYZ:
```
14
Lattice="5.432 0.044 0.000 -2.142 4.992 0.000 0.000 0.000 6.929" Properties=species:S:1:pos:R:3 pbc="T T T"
Ca 1.645 2.518 3.464
Ca 1.645 2.518 0.000
Ge -1.168 4.356 1.732
Ge 4.458 0.680 5.197
Rh 3.933 1.023 1.732
Rh -0.643 4.013 5.197
O 0.734 1.189 5.197
O 2.496 3.886 5.197
O 3.618 1.229 6.662
O 3.618 1.229 3.731
O -0.328 3.807 0.267
O -0.328 3.807 3.197
O 2.556 3.847 1.732
O 0.794 1.149 1.732
```



(6)
Here is a relaxed CaGeS2O crystal from the Alexandria database. Energies are from GGA-PBE.

Spin magnetization (μB/cell): 0.000
Formation energy without anion corrections (eV/atom): -0.355

Geometry as extended XYZ:
```
5
Lattice="-3.852 -1.347 -2.544 0.829 -4.589 1.174 -2.388 0.435 3.386" Properties=species:S:1:pos:R:3 pbc="T T T"
S 0.414 -2.295 0.587
S -1.926 -0.673 -1.272
Ge -2.706 -2.750 1.008
Ca -1.194 0.218 1.693
O 0.000 0.000 0.000
```



(7)
Here is a relaxed CaGeSb2O crystal from the Alexandria database. Energies are from GGA-PBE.

Spin magnetization (μB/cell): 0.313
Formation energy without anion corrections (eV/atom): 1.270

Geometry as extended XYZ:
```
5
Lattice="-3.705 2.194 3.716 -2.225 -4.986 0.725 3.652 -1.013 4.240" Properties=species:S:1:pos:R:3 pbc="T T T"
Sb 1.826 -0.506 2.120
Sb -1.852 1.097 1.858
Ge -1.112 -2.493 0.363
Ca 0.000 0.000 0.000
O -1.139 -1.902 4.341
```



(8)
Here is a relaxed CaGe2SbO8 crystal from the Alexandria database. Energies are from GGA-PBE.

Spin magnetization (μB/cell): 1.108
Formation energy without anion corrections (eV/atom): -1.485

Geometry as extended XYZ:
```
12
Lattice="-2.714 -3.973 -3.302 5.822 0.001 -0.395 -1.303 -1.260 5.547" Properties=species:S:1:pos:R:3 pbc="T T T"
Ca 0.000 0.000 0.000
Ge -1.231 -3.609 0.198
Ge 1.554 -1.986 -1.849
Sb 3.037 -1.623 1.652
O -1.164 -1.876 0.563
O 1.897 -1.527 -0.164
O -1.203 -2.286 3.335
O -2.574 -3.713 1.351
O 1.311 -3.736 -2.063
O -1.387 -4.204 -1.465
O 0.200 -4.646 0.344
O 1.605 -2.916 2.592
```



(9)
Here is a relaxed Ca3Ge3Sb2O12 crystal from the Alexandria database. Energies are from GGA-PBE.

Spin magnetization (μB/cell): 0.000
Formation energy without anion corrections (eV/atom): -2.016

Geometry as extended XYZ:
```
80
Lattice="11.264 0.000 0.000 -3.755 10.620 0.000 -3.755 -5.310 9.197" Properties=species:S:1:pos:R:3 pbc="T T T"
Ca -2.816 5.973 5.748
Ca 2.816 1.991 8.047
Ca 0.939 5.310 6.898
Ca 6.570 5.310 2.299
Ca 2.816 -1.991 8.047
Ca 4.693 4.646 5.748
Ca 6.570 -0.664 3.449
Ca 0.939 3.319 1.150
Ca 2.816 0.000 2.299
Ca -2.816 0.000 6.898
Ca 0.939 7.301 1.150
Ca -0.939 0.664 3.449
Ge -4.693 3.319 8.047
Ge 8.448 1.991 1.150
Ge 4.693 2.655 2.299
Ge 4.693 8.628 1.150
Ge 6.570 -2.655 6.898
Ge -0.939 4.646 3.449
Ge 4.693 0.664 5.748
Ge -0.939 -3.319 8.047
Ge -2.816 7.965 2.299
Ge -0.939 2.655 6.898
Ge 2.816 5.973 3.449
Ge 0.939 -0.664 5.748
Sb 1.877 2.655 4.598
Sb 3.755 -2.655 4.598
Sb -3.755 2.655 4.598
Sb 3.755 5.310 0.000
Sb -1.877 -2.655 4.598
Sb -1.877 5.310 0.000
Sb 5.632 0.000 0.000
Sb 0.000 0.000 0.000
O -1.359 4.381 7.175
O 8.001 3.708 0.856
O -5.113 6.678 6.413
O 0.829 2.834 6.620
O 4.803 -2.834 6.620
O 2.396 4.870 4.805
O 5.140 3.768 0.959
O 3.793 2.220 5.764
O 5.593 3.447 3.639
O 4.803 3.649 8.031
O 1.839 4.083 8.990
O 5.140 6.912 0.856
O 1.839 -2.220 5.764
O -0.518 5.750 4.805
O -4.273 3.941 6.413
O -2.706 4.495 3.743
O 1.386 -0.060 7.382
O -3.716 7.172 3.639
O 8.001 6.852 0.959
O -1.839 1.862 5.558
O 3.793 -4.083 8.990
O 4.246 0.060 7.382
O 0.829 -3.649 8.031
O 3.236 6.238 7.175
O 5.113 0.929 2.022
O -4.246 1.602 8.341
O 8.868 -1.368 2.783
O 2.926 2.476 2.577
O -1.048 8.144 2.577
O 1.359 0.440 4.392
O -1.386 1.542 8.237
O -0.038 3.090 3.432
O 0.518 -0.929 2.022
O 2.926 8.958 1.166
O -0.492 5.250 1.815
O -0.829 -0.815 5.454
O -0.038 9.392 0.207
O -4.246 -1.542 8.237
O 7.471 -1.862 5.558
O 2.369 5.370 1.815
O 6.461 0.815 5.454
O 8.028 1.368 2.783
O 4.273 -0.440 4.392
O 1.916 7.530 3.432
O -1.386 -1.602 8.341
O 1.916 1.227 0.207
O -1.048 1.661 1.166
O 4.583 6.124 3.743
```



(10)
Here is a relaxed CaGeSbO6 crystal from the Alexandria database. Energies are from GGA-PBE.

Spin magnetization (μB/cell): 2.057
Formation energy without anion corrections (eV/atom): -1.748

Geometry as extended XYZ:
```
18
Lattice="-1.839 4.282 -2.307 -2.834 -4.360 0.029 -4.272 2.834 8.665" Properties=species:S:1:pos:R:3 pbc="T T T"
Ca 0.000 0.000 0.000
Ca -2.136 1.417 4.333
Ge -3.239 2.110 0.638
Ge -5.707 0.647 5.749
Sb -3.571 -0.770 1.416
Sb -5.375 3.527 4.970
O -3.568 0.413 -0.215
O -3.449 3.064 -1.024
O -6.210 -0.938 4.774
O -5.496 -0.308 7.410
O -3.229 1.037 2.239
O -5.116 2.503 0.829
O -7.610 0.809 6.003
O -2.736 3.695 1.612
O -3.829 0.254 5.558
O -1.335 1.948 0.384
O -5.717 1.720 4.148
O -5.377 2.344 6.601
```



(11)
Here is a relaxed CaGeSb2O8 crystal from the Alexandria database. Energies are from GGA-PBE.

Spin magnetization (μB/cell): 0.000
Formation energy without anion corrections (eV/atom): -1.686

Geometry as extended XYZ:
```
12
Lattice="-4.422 1.840 0.057 -0.869 -1.020 -4.593 -2.346 -5.690 1.707" Properties=species:S:1:pos:R:3 pbc="T T T"
Ca -1.173 -2.845 0.853
Ge 0.000 0.000 0.000
Sb -4.420 -3.895 -0.977
Sb -3.216 -0.975 -1.853
O -2.068 -1.689 -3.307
O -6.030 -5.121 -1.461
O -4.237 0.049 -0.492
O -5.568 -3.180 0.477
O -1.605 0.251 -1.368
O -3.399 -4.919 -2.338
O -4.742 -2.294 -2.215
O -2.894 -2.575 -0.614
```



(12)
Here is a relaxed CaGeSb2O crystal from the Alexandria database. Energies are from GGA-PBE.

Spin magnetization (μB/cell): 0.000
Formation energy without anion corrections (eV/atom): -0.399

Geometry as extended XYZ:
```
5
Lattice="5.786 0.000 0.000 0.000 3.639 0.000 0.000 0.000 5.786" Properties=species:S:1:pos:R:3 pbc="T T T"
Sb 0.000 0.000 2.893
Sb 2.893 0.000 0.000
Ge 0.000 0.000 0.000
Ca 2.893 1.820 2.893
O 0.000 1.820 0.000
```



(13)
Here is a relaxed CaGeSeO2 crystal from the Alexandria database. Energies are from GGA-PBE.

Spin magnetization (μB/cell): 0.000
Formation energy without anion corrections (eV/atom): -1.508

Geometry as extended XYZ:
```
10
Lattice="-0.903 2.400 -4.535 -2.948 -4.189 -1.630 -3.574 4.716 3.208" Properties=species:S:1:pos:R:3 pbc="T T T"
Ca -2.862 -0.890 -1.398
Ca -4.563 3.818 -1.560
Ge -6.222 0.855 0.195
Ge -1.203 2.073 -3.152
Se -4.684 1.021 -3.015
Se -2.741 1.906 0.058
O -1.122 0.247 -2.638
O -2.278 -3.236 -1.259
O -2.729 -2.036 -3.526
O -0.671 -0.953 -0.371
```



(14)
Here is a relaxed CaGeSeO6 crystal from the Alexandria database. Energies are from GGA-PBE.

Spin magnetization (μB/cell): 0.000
Formation energy without anion corrections (eV/atom): -1.580

Geometry as extended XYZ:
```
18
Lattice="-0.900 4.465 1.930 -3.740 -3.118 -0.872 1.029 -3.873 9.437" Properties=species:S:1:pos:R:3 pbc="T T T"
Ca 0.000 0.000 0.000
Ca 0.515 -1.936 4.719
Ge -1.590 0.969 3.356
Ge -2.022 -3.495 7.140
Se -2.536 -1.558 2.422
Se -1.075 -0.967 8.074
O -2.759 0.220 2.035
O -1.292 -1.708 1.083
O 0.274 -0.838 6.839
O -2.319 -0.817 9.413
O -1.403 -0.906 3.707
O -2.004 -3.271 2.802
O 0.263 -0.529 9.249
O -3.885 -1.688 3.657
O -1.607 0.746 7.694
O -3.874 -1.996 1.247
O -2.208 -1.620 6.789
O -0.852 -2.746 8.461
```



(15)
Here is a relaxed Ca3Si2GeO9 crystal from the Alexandria database. Energies are from GGA-PBE.

Spin magnetization (μB/cell): 0.000
Formation energy without anion corrections (eV/atom): -2.791

Geometry as extended XYZ:
```
30
Lattice="7.220 0.013 0.002 -0.076 7.477 -0.011 -0.770 -1.869 7.827" Properties=species:S:1:pos:R:3 pbc="T T T"
Ca 5.333 2.765 1.624
Ca 1.041 2.856 6.194
Ca 5.298 6.599 1.629
Ca 1.076 -0.978 6.189
Ca 2.968 0.905 3.872
Ca 3.406 4.716 3.946
Si 1.758 6.758 1.402
Si 4.616 -1.137 6.415
Si 0.057 4.699 3.088
Si 6.317 0.922 4.730
Ge 1.804 2.584 1.409
Ge 4.570 3.037 6.409
O 5.405 0.885 3.388
O 0.969 4.736 4.430
O 0.351 3.310 2.183
O 6.023 2.311 5.635
O 5.267 0.969 0.182
O 1.108 4.652 7.636
O 3.067 6.422 2.325
O 3.307 -0.801 5.492
O 5.653 4.750 3.151
O 0.721 0.871 4.666
O 0.432 5.963 2.042
O 5.942 -0.342 5.776
O 5.220 4.641 0.271
O 1.154 0.980 7.547
O 1.454 0.860 1.740
O 4.921 4.761 6.077
O 3.180 2.909 2.443
O 3.195 2.712 5.374
```



no.,DFT total energy (eV/cell)
1,-142.9
2,-120.3
3,-130.3
4,-63.6
5,-88.9
6,-21.6
7,-13.5
8,-72.8
9,-511.7
10,-112.5
11,-74.8
12,-21.8
13,-55.1
14,-108.1
15,-215.9